Record 1
PBE ZnInBi2, optimized geometry; ΔH_f (0 K) = 0.1236 eV per atom; raw total energy = -2.820 eV/atom; density of states at the Fermi level = 0.35 states/eV/atom
1.0
3.8389 0.0000 0.0000
0.0000 3.8389 0.0000
0.0000 0.0000 7.4370
Zn In Bi
1 1 2
Cartesian
0.0000 0.0000 0.0000
0.0000 0.0000 3.7185
1.9194 1.9194 1.6157
1.9194 1.9194 5.8213

=====

Record 2
PBE ZnIn9Bi2, optimized geometry; ΔH_f (0 K) = 0.0482 eV per atom; raw total energy = -2.759 eV/atom; density of states at the Fermi level = 0.32 states/eV/atom
1.0
4.6854 0.0000 0.0000
0.0000 4.6854 0.0000
0.0000 0.0000 15.0335
Zn In Bi
1 9 2
Cartesian
0.0000 0.0000 0.0000
0.0000 2.3427 2.3157
0.0000 2.3427 7.5167
0.0000 2.3427 12.7178
2.3427 0.0000 2.3157
2.3427 0.0000 7.5167
2.3427 0.0000 12.7178
2.3427 2.3427 0.0000
2.3427 2.3427 5.0084
2.3427 2.3427 10.0250
0.0000 0.0000 4.8535
0.0000 0.0000 10.1800

=====

Record 3
PBE Zn2In2Bi, optimized geometry; ΔH_f (0 K) = 0.1298 eV per atom; raw total energy = -2.251 eV/atom; density of states at the Fermi level = 0.48 states/eV/atom
1.0
-1.8401 1.8401 9.2998
1.8401 -1.8401 9.2998
1.8401 1.8401 -9.2998
Zn In Bi
2 2 1
Cartesian
1.8401 0.0000 4.6499
0.0000 1.8401 4.6499
0.0000 0.0000 2.1974
0.0000 0.0000 16.4023
0.0000 0.0000 9.2998

=====

Record 4
PBE ZnInBi2, optimized geometry; ΔH_f (0 K) = 0.1153 eV per atom; raw total energy = -2.828 eV/atom; density of states at the Fermi level = 0.52 states/eV/atom
1.0
3.9486 -2.2505 0.0000
3.9486 2.2505 0.0000
-2.6290 0.0000 6.5596
Zn In Bi
1 1 2
Cartesian
0.0000 0.0000 0.0000
0.0244 0.0000 3.2876
2.6046 0.0000 1.4082
2.6780 0.0000 5.1744

=====

Record 5
PBE Zn3In12Bi5, optimized geometry; ΔH_f (0 K) = 0.1328 eV per atom; raw total energy = -2.672 eV/atom; density of states at the Fermi level = 0.43 states/eV/atom
1.0
-8.6433 8.6433 8.6433
8.6433 -8.6433 8.6433
8.6433 8.6433 -8.6433
Zn In Bi
12 48 20
Cartesian
4.3216 2.1608 0.0000
8.6433 4.3216 -2.1608
2.1608 0.0000 4.3216
10.8041 0.0000 4.3216
0.0000 4.3216 2.1608
4.3216 -2.1608 8.6433
4.3216 10.8041 0.0000
8.6433 4.3216 6.4825
-2.1608 8.6433 4.3216
6.4825 8.6433 4.3216
0.0000 4.3216 10.8041
4.3216 6.4825 8.6433
8.3214 -1.6303 2.6037
13.2867 -1.7180 2.6913
2.6037 -0.3218 1.6303
10.3612 5.9520 -4.6435
11.2470 0.3218 1.6303
10.3612 -2.6913 4.6435
1.6303 2.6037 -0.3218
11.3346 3.9998 -1.7180
5.9520 4.6435 -1.7180
7.0129 2.6037 0.3218
-0.3218 1.6303 2.6037
4.6435 -1.7180 5.9520
8.3214 7.0129 -2.6037
4.6435 1.7180 2.6913
7.0129 -2.6037 8.3214
5.9520 -4.6435 10.3612
2.6913 4.6435 1.7180
10.2736 6.0396 0.3218
2.6037 8.3214 -1.6303
10.3612 2.6913 3.9998
1.7180 2.6913 4.6435
2.6037 0.3218 7.0129
4.6435 10.3612 -2.6913
8.3214 1.6303 6.0396
0.3218 7.0129 2.6037
3.9998 -1.7180 11.3346
6.0396 8.3214 1.6303
6.9253 5.9520 3.9998
-1.7180 5.9520 4.6435
6.0396 0.3218 10.2736
-1.6303 2.6037 8.3214
5.9520 3.9998 6.9253
2.6913 13.2867 -1.7180
1.6303 11.2470 0.3218
3.9998 6.9253 5.9520
0.3218 1.6303 11.2470
3.9998 10.3612 2.6913
8.9651 7.0129 6.0396
1.6303 6.0396 8.3214
2.6913 3.9998 10.3612
-2.6913 4.6435 10.3612
7.0129 6.0396 8.9651
-1.7180 11.3346 3.9998
-2.6037 8.3214 7.0129
-1.7180 2.6913 13.2867
6.0396 8.9651 7.0129
-4.6435 10.3612 5.9520
0.3218 10.2736 6.0396
0.0000 0.0000 0.0000
4.3216 4.3216 -4.3216
4.3216 -4.3216 4.3216
8.6433 0.0000 0.0000
12.9649 2.1608 0.0000
8.6433 -4.3216 6.4825
6.4825 8.6433 -4.3216
6.4825 0.0000 4.3216
4.3216 6.4825 0.0000
8.6433 4.3216 2.1608
-4.3216 4.3216 4.3216
0.0000 8.6433 0.0000
0.0000 0.0000 8.6433
4.3216 4.3216 4.3216
0.0000 4.3216 6.4825
4.3216 2.1608 8.6433
2.1608 8.6433 4.3216
2.1608 0.0000 12.9649
0.0000 12.9649 2.1608
-4.3216 6.4825 8.6433

=====

Record 6
PBE ZnInBi2, optimized geometry; ΔH_f (0 K) = 0.1488 eV per atom; raw total energy = -2.795 eV/atom; density of states at the Fermi level = 0.42 states/eV/atom
1.0
5.0107 0.0000 0.0000
0.0000 5.0107 0.0000
0.0000 0.0000 4.3670
Zn In Bi
1 1 2
Cartesian
0.0000 0.0000 0.0000
2.5053 2.5053 0.0000
0.0000 2.5053 2.1835
2.5053 0.0000 2.1835

=====

Record 7
PBE ZnIn3Bi, optimized geometry; ΔH_f (0 K) = 0.6263 eV per atom; raw total energy = -2.048 eV/atom; density of states at the Fermi level = 0.82 states/eV/atom
1.0
5.9670 0.0000 0.0000
0.0000 5.9670 0.0000
0.0000 0.0000 5.9670
Zn In Bi
1 3 1
Cartesian
0.0000 0.0000 0.0000
0.0000 2.9835 2.9835
2.9835 0.0000 2.9835
2.9835 2.9835 0.0000
2.9835 2.9835 2.9835

=====

Record 8
PBE ZnIn6Bi, optimized geometry; ΔH_f (0 K) = 0.0648 eV per atom; raw total energy = -2.633 eV/atom; density of states at the Fermi level = 0.45 states/eV/atom
1.0
3.5049 -5.3845 0.0000
3.5049 5.3845 0.0000
-2.9376 0.0000 5.6966
Zn In Bi
1 6 1
Cartesian
0.0000 0.0000 0.0000
-0.2589 2.8244 4.3026
4.3311 2.8244 1.3940
2.6566 0.0000 1.3283
1.4156 0.0000 4.3683
-0.2589 -2.8244 4.3026
4.3311 -2.8244 1.3940
-1.4688 0.0000 2.8483